No. 1
Material: BaNi3Ag
Method: DFT, meta-GGA SCAN
State: single point on PBEsol structure

Cell: 4.7931 4.7931 4.7931 Å, 90.00 90.00 90.00°
Closest atoms and distances in Å follow each position.
Space group Pm-3m (No. 221)
Inequivalent atoms, fractional coordinates:
Ba  0.0000  0.0000  0.0000  6 Ni 2.40
Ni  0.0000  0.0000  0.5000  2 Ba 2.40
Ag  0.5000  0.5000  0.5000  12 Ni 3.39

Results
DOS at the Fermi energy (states/eV/cell): 5.487
Calculated volume (Å³/cell): 110.1
Calculated formation energy (eV/atom): 2.019

---

No. 2
Material: CoTcCl2
Method: DFT, meta-GGA SCAN
State: single point on PBEsol structure

Cell: 3.9330 3.3404 5.5851 Å, 90.00 98.72 90.00°
Closest atoms and distances in Å follow each position.
Space group Pm (No. 6)
Inequivalent atoms, fractional coordinates:
Co  0.0000  0.0000  0.0000  3 Cl 2.13-2.21, 2 Tc 2.32
Tc  0.5958  0.5000  0.0162  2 Co 2.32, 4 Cl 2.42-2.50
Cl  0.0301  0.5000  0.7440  2 Co 2.21, 1 Tc 2.45
Cl  0.4245  0.0000  0.2870  1 Co 2.13

Results
DOS at the Fermi energy (states/eV/cell): 0.861
Calculated volume (Å³/cell): 72.5
Energy relative to the elements, uncorrected (kJ/mol of formula units): 106

---

No. 3
Material: TeSe
Method: DFT, meta-GGA SCAN
State: single point on PBEsol structure

Cell: 3.7138 3.7138 4.1434 Å, 90.00 90.00 120.00°
Closest atoms and distances in Å follow each position.
Space group P-6m2 (No. 187)
Inequivalent atoms, fractional coordinates:
Te  0.0000  0.0000  0.0000  6 Se 2.98
Se  0.6667  0.3333  0.5000  6 Te 2.98

Results
DOS at the Fermi energy (states/eV/cell): 0.998
Calculated volume (Å³/cell): 49.5
Energy relative to the elements, uncorrected (kJ/mol of formula units): 45

---

no.,VASP energy (eV for the cell shown)
1,-109.341
2,-67.226
3,-56.867